A crystal of ScIn2Hg relaxed with PBEsol, computed with SCAN.

Cell and atoms, written as POSCAR:
```
ScIn2Hg
1.0
-2.140 2.140 4.811
2.140 -2.140 4.811
2.140 2.140 -4.811
Sc In Hg
1 2 1
Cartesian
0.000 0.000 0.000 Sc
2.140 0.000 2.406 In
0.000 2.140 2.406 In
0.000 0.000 4.811 Hg
```

Properties
DFT formation energy (meV per atom): -322
Final energy (eV per atom): -37.616


A crystal of TaTePb2 relaxed with PBEsol, computed with SCAN.

Cell and atoms, written as POSCAR:
```
TaTePb2
1.0
3.262 -4.510 0.000
3.262 4.510 0.000
0.000 0.000 3.282
Ta Te Pb
1 1 2
Cartesian
0.000 0.000 0.000 Ta
3.262 0.000 0.000 Te
1.631 2.255 1.641 Pb
1.631 -2.255 1.641 Pb
```

Properties
Final energy (eV per atom): -63.207


A crystal of LiCr2Os relaxed with PBEsol, computed with SCAN.

Cell and atoms, written as POSCAR:
```
LiCr2Os
1.0
4.137 0.000 0.000
0.000 4.137 0.000
0.000 0.000 2.896
Li Cr Os
1 2 1
Cartesian
0.000 0.000 0.000 Li
0.000 2.069 1.448 Cr
2.069 0.000 1.448 Cr
2.069 2.069 0.000 Os
```

Properties
DFT formation energy (meV per atom): 201
Final energy (eV per atom): -27.559


A crystal of Te2IrNCl relaxed with PBEsol, computed with SCAN.

Cell and atoms, written as POSCAR:
```
Te2IrNCl
1.0
5.235 0.000 0.000
0.000 5.235 0.000
0.000 0.000 3.291
Te Ir N Cl
2 1 1 1
Cartesian
0.000 2.618 0.000 Te
2.618 0.000 0.000 Te
0.000 0.000 1.645 Ir
2.618 2.618 1.645 N
2.618 2.618 0.000 Cl
```

Properties
Final energy (eV per atom): -30.795


A crystal of BePt5 relaxed with PBEsol, computed with SCAN.

Cell and atoms, written as POSCAR:
```
BePt5
1.0
2.744 0.000 0.000
0.000 2.744 0.000
0.000 0.000 10.953
Be Pt
1 5
Cartesian
0.000 0.000 0.000 Be
0.000 0.000 3.500 Pt
0.000 0.000 7.453 Pt
1.372 1.372 1.425 Pt
1.372 1.372 5.477 Pt
1.372 1.372 9.529 Pt
```

Properties
DFT formation energy (meV per atom): -311
Polymorph energy (0 for the lowest one) (meV/atom): 0
Final energy (eV per atom): -59.530


A crystal of AlPtBr2N relaxed with PBEsol, computed with SCAN.

Cell and atoms, written as POSCAR:
```
AlPtBr2N
1.0
5.127 0.000 0.000
0.000 5.127 0.000
0.000 0.000 3.488
Al Pt Br N
1 1 2 1
Cartesian
0.000 0.000 0.000 Al
2.563 2.563 1.744 Pt
0.000 2.563 0.000 Br
2.563 0.000 0.000 Br
0.000 0.000 1.744 N
```

Properties
Final energy (eV per atom): -24.744


A crystal of SrCdB2O5 relaxed with PBEsol, computed with SCAN.

Cell and atoms, written as POSCAR:
```
SrCdB2O5
1.0
3.818 -5.075 0.000
3.818 5.075 0.000
-1.825 0.000 10.994
Sr Cd B O
4 4 8 20
Cartesian
2.449 3.739 8.245 Sr
3.362 1.854 2.748 Sr
2.449 -1.854 8.245 Sr
3.362 -3.739 2.748 Sr
1.554 0.998 6.123 Cd
2.466 -0.998 0.626 Cd
3.345 0.998 10.368 Cd
4.257 -0.998 4.871 Cd
1.293 3.691 10.939 B
0.557 0.988 9.140 B
3.605 3.691 5.552 B
1.469 -0.988 3.643 B
4.342 0.988 7.351 B
2.206 -3.691 5.442 B
5.254 -0.988 1.854 B
4.518 -3.691 0.055 B
2.745 3.880 1.303 O
0.877 1.824 8.122 O
1.495 0.972 1.080 O
2.383 3.100 5.778 O
3.979 3.880 4.194 O
2.516 3.100 10.713 O
0.583 -0.972 6.577 O
2.214 0.065 4.102 O
1.302 -0.065 9.599 O
1.789 -1.824 2.625 O
4.022 1.824 8.369 O
4.509 0.065 1.395 O
3.597 -0.065 6.892 O
5.229 0.972 4.417 O
3.296 -3.100 0.281 O
1.832 -3.880 6.800 O
3.428 -3.100 5.216 O
4.316 -0.972 9.914 O
4.935 -1.824 2.872 O
3.067 -3.880 9.691 O
```

Properties
Final energy (eV per atom): -13.549


A crystal of YMg2Zn relaxed with PBEsol, computed with SCAN.

Cell and atoms, written as POSCAR:
```
YMg2Zn
1.0
0.000 3.483 3.483
3.483 0.000 3.483
3.483 3.483 0.000
Y Mg Zn
1 2 1
Cartesian
0.000 0.000 0.000 Y
3.483 3.483 3.483 Mg
5.225 5.225 5.225 Mg
1.742 1.742 1.742 Zn
```

Properties
DFT formation energy (meV per atom): -218
Final energy (eV per atom): -13.045


Please write out number 6 again, unchanged.
A crystal of AlPtBr2N relaxed with PBEsol, computed with SCAN.

Cell and atoms, written as POSCAR:
```
AlPtBr2N
1.0
5.127 0.000 0.000
0.000 5.127 0.000
0.000 0.000 3.488
Al Pt Br N
1 1 2 1
Cartesian
0.000 0.000 0.000 Al
2.563 2.563 1.744 Pt
0.000 2.563 0.000 Br
2.563 0.000 0.000 Br
0.000 0.000 1.744 N
```

Properties
Final energy (eV per atom): -24.744


Among the records above, which one has the highest final energy?
YMg2Zn


final energy of number 1 (ScIn2Hg)?
-37.616 eV per atom